{"formula": "InHgTe2", "functional": "GGA-PBEsol", "state": "relaxed", "lattice": [[4.355, 0.000, 0.000], [0.000, 4.355, 0.000], [0.000, 0.000, 5.985]], "species": ["Hg", "In", "Te", "Te"], "fractional_positions": [[0.500, 0.500, 0.500], [0.000, 0.000, 0.500], [0.000, 0.500, 0.000], [0.500, 0.000, 0.000]], "vol_a3_per_atom": 28.37, "formation_energy_uncorrected_ev_per_atom": -0.005, "dos_ef_per_ev_atom": 0.45}

{"formula": "KSiB3", "functional": "GGA-PBEsol", "state": "relaxed", "lattice": [[4.603, 0.000, 0.000], [0.000, 4.603, 0.000], [0.000, 0.000, 4.603]], "species": ["K", "B", "B", "B", "Si"], "fractional_positions": [[0.000, 0.000, 0.000], [0.000, 0.500, 0.000], [0.000, 0.000, 0.500], [0.500, 0.000, 0.000], [0.500, 0.500, 0.500]], "vol_a3_per_atom": 19.51, "formation_energy_uncorrected_ev_per_atom": 3.491, "dos_ef_per_ev_atom": 0.95}

{"formula": "Nb2Ge2H", "functional": "GGA-PBEsol", "state": "relaxed", "lattice": [[3.509, 0.000, 0.000], [0.000, 3.509, 0.000], [-1.754, -1.754, 6.524]], "species": ["H", "Nb", "Nb", "Ge", "Ge"], "fractional_positions": [[0.000, 0.000, 0.000], [0.405, 0.405, 0.809], [0.595, 0.595, 0.191], [0.250, 0.750, 0.500], [0.750, 0.250, 0.500]], "vol_a3_per_atom": 16.07, "dos_ef_per_ev_atom": 0.67}

{"formula": "CaLu2Ge4O12", "functional": "GGA-PBEsol", "state": "relaxed", "lattice": [[-4.314, -0.742, 2.442], [-0.039, -9.422, -2.931], [5.024, -2.508, 8.114]], "species": ["Ca", "Ca", "Lu", "Lu", "Lu", "Lu", "Ge", "Ge", "Ge", "Ge", "Ge", "Ge", "Ge", "Ge", "O", "O", "O", "O", "O", "O", "O", "O", "O", "O", "O", "O", "O", "O", "O", "O", "O", "O", "O", "O", "O", "O", "O", "O"], "fractional_positions": [[0.500, 0.500, 0.000], [0.500, 0.000, 0.500], [0.500, 0.500, 0.500], [0.500, 0.000, 0.000], [0.500, 0.250, 0.250], [0.500, 0.750, 0.750], [0.996, 0.983, 0.249], [0.004, 0.017, 0.751], [0.004, 0.483, 0.749], [0.996, 0.517, 0.251], [0.004, 0.251, 0.517], [0.996, 0.749, 0.483], [0.996, 0.751, 0.017], [0.004, 0.249, 0.983], [0.254, 0.325, 0.076], [0.264, 0.670, 0.560], [0.264, 0.830, 0.940], [0.254, 0.175, 0.424], [0.746, 0.675, 0.924], [0.736, 0.330, 0.440], [0.736, 0.170, 0.060], [0.746, 0.825, 0.576], [0.746, 0.424, 0.175], [0.736, 0.940, 0.830], [0.736, 0.560, 0.670], [0.746, 0.076, 0.325], [0.254, 0.576, 0.825], [0.264, 0.060, 0.170], [0.264, 0.440, 0.330], [0.254, 0.924, 0.675], [0.147, 0.870, 0.370], [0.175, 0.121, 0.879], [0.175, 0.379, 0.621], [0.147, 0.630, 0.130], [0.853, 0.130, 0.630], [0.825, 0.879, 0.121], [0.825, 0.621, 0.379], [0.853, 0.370, 0.870]], "vol_a3_per_atom": 12.84, "formation_energy_uncorrected_ev_per_atom": -2.452, "dos_ef_per_ev_atom": 0.00}

{"formula": "NiHSe2", "functional": "GGA-PBEsol", "state": "relaxed", "lattice": [[3.596, 0.000, 0.000], [1.798, 3.114, 0.000], [1.798, 1.038, 5.928]], "species": ["Ni", "Se", "Se", "H"], "fractional_positions": [[0.500, 0.500, 0.500], [0.901, 0.901, 0.298], [0.099, 0.099, 0.702], [0.000, 0.000, 0.000]], "vol_a3_per_atom": 16.60, "dos_ef_per_ev_atom": 0.38}

{"formula": "LaAlCd2", "functional": "GGA-PBEsol", "state": "relaxed", "lattice": [[3.153, 0.000, 0.000], [1.576, 2.730, 0.000], [1.576, 0.910, 10.484]], "species": ["Cd", "Cd", "Al", "La"], "fractional_positions": [[0.259, 0.259, 0.223], [0.741, 0.741, 0.777], [0.000, 0.000, 0.000], [0.500, 0.500, 0.500]], "vol_a3_per_atom": 22.56, "dos_ef_per_ev_atom": 0.70}

Number 1: uncorrected energy -2.66 eV/atom. Number 2: uncorrected energy -2.09 eV/atom. Number 3: uncorrected energy -6.39 eV/atom. Number 4: uncorrected energy -7.43 eV/atom. Number 5: uncorrected energy -4.41 eV/atom. Number 6: uncorrected energy -2.94 eV/atom.